VASP calculation (PBE with a Hubbard U) on crystalline Li5Mn2CoO8 at its relaxed geometry.

POSCAR file:
```
Li5Mn2CoO8
1.0
4.9939 -5.7663 0.0000
4.9939 5.7663 0.0000
-1.6643 0.0000 4.7856
Li Mn Co O
10 4 2 16
Direct
0.0000 0.0000 0.0000 Li
0.1211 0.3780 0.0019 Li
0.2492 0.7505 0.0000 Li
0.3780 0.1211 0.0019 Li
0.4993 0.4993 0.0003 Li
0.4990 0.9994 0.4990 Li
0.6205 0.8795 0.9972 Li
0.7505 0.2492 0.0000 Li
0.8795 0.6205 0.9972 Li
0.9994 0.4990 0.4990 Li
0.1291 0.8748 0.4977 Mn
0.3703 0.6240 0.5020 Mn
0.6240 0.3703 0.5020 Mn
0.8748 0.1291 0.4977 Mn
0.2498 0.2498 0.4980 Co
0.7489 0.7489 0.5005 Co
0.9998 0.7571 0.7228 O
0.0061 0.2437 0.2771 O
0.1216 0.1216 0.7170 O
0.1396 0.6404 0.2713 O
0.2437 0.0061 0.2771 O
0.2576 0.4945 0.7188 O
0.3601 0.8591 0.7289 O
0.3775 0.3775 0.2803 O
0.4945 0.2576 0.7188 O
0.4976 0.7389 0.2784 O
0.6137 0.6137 0.7272 O
0.6404 0.1396 0.2713 O
0.7389 0.4976 0.2784 O
0.7571 0.9998 0.7228 O
0.8591 0.3601 0.7289 O
0.8849 0.8849 0.2725 O
```

Calculated total energy ... -5.940 eV per atom
Volume ... 276 Å³ per cell
Density ... 3.995 g cm⁻³